Material: KH6O4
Method: DFT, PBE
State: relaxed

abc: 5.050 5.050 5.050
angles: 119.74 119.74 90.46
Element x y z (fractional)
K 0.000 0.000 0.000
H 0.000 0.500 0.500
H 0.032 0.032 0.566
H 0.466 0.466 0.434
H 0.500 0.000 0.500
H 0.534 0.968 0.000
H 0.968 0.534 0.000
O 0.164 0.557 0.000
O 0.443 0.443 0.607
O 0.557 0.164 0.000
O 0.836 0.836 0.393

Summary:
- symmetry = No. 121
- uncorrected energy (eV/atom) = -3.8725
- mass density (g/cm3) = 1.98
- N(E_F) (states/eV per cell) = 4.190

Material: ThScSe3
Method: DFT, PBE
State: relaxed

abc: 8.534 3.911 14.572
angles: 90.00 90.00 90.00
Element x y z (fractional)
Th 0.141 0.250 0.197
Th 0.359 0.750 0.697
Th 0.641 0.250 0.303
Th 0.859 0.750 0.803
Sc 0.177 0.750 0.459
Sc 0.323 0.250 0.959
Sc 0.677 0.750 0.041
Sc 0.823 0.250 0.541
Se 0.003 0.750 0.615
Se 0.151 0.250 0.799
Se 0.160 0.750 0.044
Se 0.340 0.250 0.544
Se 0.349 0.750 0.299
Se 0.497 0.250 0.115
Se 0.503 0.750 0.885
Se 0.651 0.250 0.701
Se 0.660 0.750 0.456
Se 0.840 0.250 0.956
Se 0.849 0.750 0.201
Se 0.997 0.250 0.385

Summary:
- symmetry = No. 62
- uncorrected formation energy (eV per atom) = -1.68
- mass density (g/cm3) = 7.02
- N(E_F) (states/eV per cell) = 12.123